Compound: NdThSi
Source: the Alexandria database
Functional: PBE-GGA
Structure: optimized geometry

Cell lengths 7.0497, 7.0497, 7.0497 Å; angles 90.00, 90.00, 90.00 degrees
Closest atoms and distances in Å follow each position.
Space group F-43m (No. 216)
Unique sites:
Nd: 0.0000 0.0000 0.0000  4 Si 3.05
Th: 0.0000 0.0000 0.5000  4 Si 3.05
Si: 0.2500 0.2500 0.2500  4 Th 3.05, 4 Nd 3.05

Calculated values
Its excess energy over the best structure of this formula in the dataset is 0.132 eV per atom. The energy comes out at -6.19 eV per atom. The size of the total moment is 0.000 μB per atom. The calculation puts the formation energy (no corrections) at -30.9 kJ per mole of atoms.